1.
5
Lattice="5.3652 0.0000 0.0000 0.0000 5.3652 0.0000 0.0000 0.0000 5.3652" Properties=species:S:1:pos:R:3 comment="CaFe3F | Alexandria | GGA+U | optimized geometry" relative_energy_ev_per_atom=1.004 spacegroup=Pm-3m pbc="T T T"
Ca 0.0000 0.0000 0.0000
Fe 0.0000 2.6826 0.0000
Fe 0.0000 0.0000 2.6826
Fe 2.6826 0.0000 0.0000
F 2.6826 2.6826 2.6826

=====

2.
5
Lattice="4.5368 0.0000 0.0000 0.0000 4.5368 0.0000 0.0000 0.0000 4.5368" Properties=species:S:1:pos:R:3 comment="CaFe3F | Alexandria | GGA+U | optimized geometry" relative_energy_ev_per_atom=0.000 spacegroup=Pm-3m pbc="T T T"
Ca 2.2684 2.2684 2.2684
Fe 0.0000 2.2684 0.0000
Fe 0.0000 0.0000 2.2684
Fe 2.2684 0.0000 0.0000
F 0.0000 0.0000 0.0000

=====

3.
11
Lattice="-0.1257 1.1282 -5.2116 -5.1239 1.1278 1.1786 -0.2361 5.0234 1.9040" Properties=species:S:1:pos:R:3 comment="CaFe2F8 | Alexandria | GGA+U | optimized geometry" spacegroup=C2/m final_energy_ev_per_cell=-55.9 pbc="T T T"
Ca 0.0000 0.0000 0.0000
Fe -3.7301 4.7232 -0.2310
Fe -1.7556 2.5562 -1.8981
F -1.9715 5.4590 0.3838
F -0.5740 4.1637 -2.0765
F -4.2624 5.0685 1.5012
F -1.2232 2.2108 -3.6303
F -4.9117 3.1157 -0.0526
F -3.5142 1.8204 -2.5129
F -3.2002 4.3811 -1.9639
F -2.2854 2.8983 -0.1652

=====

4.
5
Lattice="-3.1906 2.8327 2.5927 -2.7053 -4.0504 1.0962 2.7254 -0.7043 4.1234" Properties=species:S:1:pos:R:3 comment="Ca3FeF | Alexandria | GGA+U | optimized geometry" relative_energy_ev_per_atom=0.000 spacegroup=Pm-3m pbc="T T T"
Ca -1.3527 -2.0252 0.5481
Ca 1.3627 -0.3522 2.0617
Ca -1.5953 1.4164 1.2963
Fe -1.5853 -0.9610 3.9062
F 0.0000 0.0000 0.0000

=====

| no. | total magnetic moment (μB/cell) |
| --- | --- |
| 1 | 10.56 |
| 2 | 9.25 |
| 3 | 6.00 |
| 4 | 2.17 |